The following is a GGA+U calculation of a relaxed structure of CoH2F6, from Alexandria.

Properties
The magnetization is 1.03 μB per formula unit. As for the calculated volume: 206 Å³ per cell. For the total energy, the calculation gives -0.298 Ry per atom.

a b c (Å): 4.7685 6.6384 6.6384
angles (deg): 80.78 84.19 84.19
Closest atoms and distances in Å follow each position.
Fractional coordinates of all 18 atoms:
F: 0.1426 0.4204 0.3054  1 H 0.97
H: 0.1697 0.6497 0.6202  1 F 0.97
F: 0.6371 0.6692 0.1157  1 Co 1.72
F: 0.1371 0.1157 0.6692  1 Co 1.72
F: 0.1073 0.8289 0.9767  2 Co 1.86-1.89
F: 0.3574 0.6946 0.5796  1 H 0.97
H: 0.6697 0.6202 0.6497  1 F 0.97
F: 0.3629 0.3308 0.8843  1 Co 1.72
H: 0.8303 0.3503 0.3798  1 F 0.97
Co: 0.2500 0.0897 0.9103  6 F 1.72-1.89
F: 0.8629 0.8843 0.3308  1 Co 1.72
F: 0.3927 0.0233 0.1711  2 Co 1.86-1.89
F: 0.6073 0.9767 0.8289  2 Co 1.86-1.89
F: 0.8927 0.1711 0.0233  2 Co 1.86-1.89
H: 0.3303 0.3798 0.3503  1 F 0.97
F: 0.8574 0.5796 0.6946  1 H 0.97
F: 0.6426 0.3054 0.4204  1 H 0.97
Co: 0.7500 0.9103 0.0897  6 F 1.72-1.89